Record 1
Computed, not measured: a relaxed BaNbAl2In crystal at the PBE-GGA level of DFT.

Properties
**D(E_F)**: 1.7 states/eV/cell
**Energy of formation**: 0.03 eV/atom

Cell: 5.1814 5.4192 5.1814 Å, 90.00 90.00 90.00°
Fractional coordinates of all 5 atoms:
Al1 0.5000 0.0000 0.0000
In1 0.0000 0.5000 0.0000
Ba1 0.5000 0.5000 0.5000
Al2 0.0000 0.0000 0.5000
Nb1 0.0000 0.0000 0.0000

---

Record 2
Computed, not measured: a relaxed As2PPbSe crystal at the PBE-GGA level of DFT.

Properties
**D(E_F)**: 4.7 states/eV/cell
**Energy relative to the elements, uncorrected**: 460.7 meV/atom

Cell: 5.0482 5.0482 5.4495 Å, 90.00 90.00 90.00°
Fractional coordinates of all 5 atoms:
Pb1 0.5000 0.5000 0.5000
Se1 0.0000 0.0000 0.5000
P1 0.0000 0.0000 0.0000
As1 0.5000 0.0000 0.0000
As2 0.0000 0.5000 0.0000

---

Record 3
Computed, not measured: a relaxed Y2ScCuAs crystal at the PBE-GGA level of DFT.

Properties
**D(E_F)**: 4.4 states/eV/cell
**Energy of formation**: -0.07 eV/atom

Cell: 5.4940 4.5053 5.4940 Å, 90.00 90.00 90.00°
Each line ends with the local moment (μB).
Fractional coordinates of all 5 atoms:
Y1 0.0000 0.0000 0.5000  0.14
Y2 0.5000 0.0000 0.0000  0.10
Cu1 0.0000 0.5000 0.0000  0.00
As1 0.0000 0.0000 0.0000  -0.01
Sc1 0.5000 0.5000 0.5000  0.35

---

Record 4
Computed, not measured: a relaxed Ni2RuS4 crystal at the PBE-GGA level of DFT.

Properties
**D(E_F)**: 10.0 states/eV/cell
**Energy relative to the elements, uncorrected**: -364.6 meV/atom

Cell: 6.7530 6.7794 6.7794 Å, 60.33 60.13 60.13°
Fractional coordinates of all 14 atoms:
Ni1 0.8730 0.8770 0.3770
Ru1 0.0000 0.5000 0.0000
S1 0.7423 0.2680 0.2474
Ru2 0.5000 0.5000 0.0000
S2 0.2577 0.7320 0.7526
Ni2 0.5000 0.5000 0.5000
S3 0.7423 0.7474 0.7680
S4 0.2686 0.7470 0.2470
S5 0.7314 0.2530 0.7530
S6 0.7375 0.7470 0.2470
S7 0.2577 0.2526 0.2320
Ni3 0.5000 0.0000 0.0000
Ni4 0.1270 0.1230 0.6230
S8 0.2625 0.2530 0.7530

---

Record 5
Computed, not measured: a relaxed POsI2 crystal at the PBE-GGA level of DFT.

Properties
**D(E_F)**: 6.0 states/eV/cell
**Energy relative to the elements, uncorrected**: 405.3 meV/atom

Cell: 10.2748 10.2748 7.5994 Å, 47.47 47.47 90.00°
Fractional coordinates of all 8 atoms:
P1 0.2500 0.7500 0.5000
I1 0.9701 0.6250 0.2500
I2 0.3750 0.2201 0.7500
I3 0.8750 0.0299 0.7500
Os1 0.7500 0.2500 0.5000
I4 0.7799 0.1250 0.2500
Os2 0.0000 0.0000 0.0000
P2 0.5000 0.5000 0.0000

---

Record 6
Computed, not measured: a relaxed BeNi2W crystal at the PBE-GGA level of DFT.

Properties
**D(E_F)**: 4.1 states/eV/cell
**Energy of formation**: -0.01 eV/atom

Cell: 2.5922 3.5927 5.0420 Å, 90.00 90.00 90.00°
Fractional coordinates of all 4 atoms:
Ni1 0.0000 0.0000 0.5135
Be1 0.5000 0.5000 0.7500
Ni2 0.0000 0.0000 0.9865
W1 0.5000 0.5000 0.2500

---

Record 7
Computed, not measured: a relaxed VReSeBr2 crystal at the PBE-GGA level of DFT.

Properties
**D(E_F)**: 7.4 states/eV/cell
**Energy relative to the elements, uncorrected**: 1055.6 meV/atom

Cell: 4.8563 5.0533 4.8563 Å, 90.00 90.00 90.00°
Each line ends with the local moment (μB).
Fractional coordinates of all 5 atoms:
Se1 0.5000 0.5000 0.5000  -0.09
Re1 0.0000 0.0000 0.0000  0.53
V1 0.0000 0.5000 0.0000  -0.47
Br1 0.5000 0.0000 0.0000  0.00
Br2 0.0000 0.0000 0.5000  0.00

---

Record 8
Computed, not measured: a relaxed CaMoN3 crystal at the PBE-GGA level of DFT.

Properties
**D(E_F)**: 0.0 states/eV/cell
**Energy relative to the elements, uncorrected**: -501.7 meV/atom

Cell: 5.2983 3.4511 7.6277 Å, 76.97 91.48 89.99°
Fractional coordinates of all 10 atoms:
N1 0.4121 0.1389 0.4983
N2 0.1377 0.9787 0.8166
Mo1 0.0678 0.1389 0.4978
Ca1 0.5320 0.5284 0.7211
N3 0.9343 0.9175 0.9381
Ca2 0.6350 0.7543 0.2661
N4 0.4367 0.3475 0.0794
N5 0.9168 0.6073 0.5608
N6 0.9721 0.2605 0.2533
Mo2 0.1200 0.3836 0.0063

---

Record 9
Computed, not measured: a relaxed Cs3Cd4Ga crystal at the PBE-GGA level of DFT.

Properties
**D(E_F)**: 5.9 states/eV/cell
**Energy of formation**: -0.02 eV/atom

Cell: 7.7406 7.7406 7.7406 Å, 117.35 86.63 126.83°
Fractional coordinates of all 8 atoms:
Ga1 0.0141 0.5000 0.5141
Cs1 0.9159 0.0000 0.9159
Cd1 0.0812 0.7608 0.3204
Cd2 0.2227 0.6971 0.9199
Cd3 0.2227 0.3029 0.5256
Cs2 0.5673 0.2510 0.8183
Cs3 0.5673 0.7490 0.3163
Cd4 0.5596 0.2392 0.3204

---

Record 10
Computed, not measured: a relaxed BaTiB2O6 crystal at the PBE-GGA level of DFT.

Properties
**D(E_F)**: 0.0 states/eV/cell
**Energy relative to the elements, uncorrected**: -2803.9 meV/atom

Cell: 6.3254 6.3254 6.3254 Å, 47.29 47.29 47.29°
Fractional coordinates of all 10 atoms:
B1 0.2328 0.2328 0.2328
O1 0.0730 0.5602 0.6594
O2 0.9270 0.4398 0.3406
O3 0.3406 0.9270 0.4398
B2 0.7672 0.7672 0.7672
O4 0.4398 0.3406 0.9270
O5 0.5602 0.6594 0.0730
Ti1 0.5000 0.5000 0.5000
Ba1 0.0000 0.0000 0.0000
O6 0.6594 0.0730 0.5602

---

Record 11
Computed, not measured: a relaxed AgIrPt4 crystal at the PBE-GGA level of DFT.

Properties
**D(E_F)**: 8.9 states/eV/cell
**Energy of formation**: 0.40 eV/atom

Cell: 5.2417 5.2417 5.2417 Å, 60.00 60.00 60.00°
Each line ends with the local moment (μB).
Fractional coordinates of all 6 atoms:
Pt1 0.3748 0.3748 0.3748  0.15
Pt2 0.3748 0.3748 0.8755  0.15
Ag1 0.7500 0.7500 0.7500  0.01
Pt3 0.3748 0.8755 0.3748  0.15
Pt4 0.8755 0.3748 0.3748  0.15
Ir1 0.0000 0.0000 0.0000  1.20

---

Record 12
Computed, not measured: a relaxed Ca3Si4Ag7 crystal at the PBE-GGA level of DFT.

Properties
**D(E_F)**: 4.4 states/eV/cell
**Energy relative to the elements, uncorrected**: -221.5 meV/atom

Cell: 4.3426 8.4025 8.5696 Å, 69.22 75.32 75.02°
Fractional coordinates of all 14 atoms:
Ag1 0.3113 0.8468 0.5306
Ca1 0.6860 0.8142 0.8139
Ag2 0.1563 0.5995 0.0878
Si1 0.8873 0.8982 0.3273
Ca2 0.0000 0.5000 0.5000
Ag3 0.4944 0.2363 0.7749
Ag4 0.5056 0.7637 0.2251
Si2 0.1127 0.1018 0.6727
Ag5 0.6887 0.1532 0.4694
Si3 0.6692 0.4447 0.2169
Si4 0.3308 0.5553 0.7831
Ca3 0.3140 0.1858 0.1861
Ag6 0.8437 0.4005 0.9122
Ag7 0.0000 0.0000 0.0000

---

Record 13
Computed, not measured: a relaxed Rb2USeS4 crystal at the PBE-GGA level of DFT.

Properties
**D(E_F)**: 9.0 states/eV/cell
**Energy relative to the elements, uncorrected**: -737.9 meV/atom

Cell: 6.9250 6.9250 6.9250 Å, 107.06 110.69 110.69°
Each line ends with the local moment (μB).
Fractional coordinates of all 8 atoms:
S1 0.8709 0.5842 0.1508  -0.04
U1 0.5000 0.2500 0.7500  2.02
S2 0.4334 0.8492 0.7201  -0.04
S3 0.1291 0.2799 0.7133  -0.04
Se1 0.0000 0.5000 0.5000  0.05
S4 0.5666 0.2867 0.4158  -0.04
Rb1 0.0000 0.0000 0.0000  0.00
Rb2 0.5000 0.7500 0.2500  0.00

---

Record 14
Computed, not measured: a relaxed LiH3Se crystal at the PBE-GGA level of DFT.

Properties
**D(E_F)**: 0.8 states/eV/cell
**Calculated total energy**: -2.71 eV per atom

Cell: 3.9539 3.9539 3.9539 Å, 90.00 90.00 90.00°
Fractional coordinates of all 5 atoms:
H1 0.0000 0.5000 0.0000
H2 0.5000 0.0000 0.0000
Se1 0.0000 0.0000 0.0000
Li1 0.5000 0.5000 0.5000
H3 0.0000 0.0000 0.5000

---

Record 15
Computed, not measured: a relaxed NdVSn2 crystal at the PBE-GGA level of DFT.

Properties
**D(E_F)**: 5.1 states/eV/cell
**Energy of formation**: 0.27 eV/atom

Cell: 3.2549 3.2549 11.0424 Å, 81.52 81.52 60.00°
Each line ends with the local moment (μB).
Fractional coordinates of all 4 atoms:
Sn1 0.0999 0.0999 0.7004  0.00
Nd1 0.0000 0.0000 0.0000  0.01
V1 0.5000 0.5000 0.5000  0.27
Sn2 0.9001 0.9001 0.2996  0.00

---

Record 16
Computed, not measured: a relaxed Cd2SiNiB crystal at the PBE-GGA level of DFT.

Properties
**D(E_F)**: 2.4 states/eV/cell
**Energy relative to the elements, uncorrected**: 699.5 meV/atom

Cell: 4.9806 3.7497 4.9806 Å, 90.00 90.00 90.00°
Fractional coordinates of all 5 atoms:
Cd1 0.0000 0.0000 0.5000
Si1 0.5000 0.5000 0.5000
Ni1 0.0000 0.0000 0.0000
Cd2 0.5000 0.0000 0.0000
B1 0.0000 0.5000 0.0000

---

Record 17
Computed, not measured: a relaxed LiSmHgPb crystal at the PBE-GGA level of DFT.

Properties
**D(E_F)**: 1.6 states/eV/cell
**Energy of formation**: -0.45 eV/atom

Cell: 5.2264 5.2264 5.2264 Å, 60.00 60.00 60.00°
Fractional coordinates of all 4 atoms:
Hg1 0.0000 0.0000 0.0000
Pb1 0.5000 0.5000 0.5000
Li1 0.7500 0.7500 0.7500
Sm1 0.2500 0.2500 0.2500

---

Record 18
Computed, not measured: a relaxed ScIrSe2 crystal at the PBE-GGA level of DFT.

Properties
**D(E_F)**: 2.2 states/eV/cell
**Energy relative to the elements, uncorrected**: -459.1 meV/atom

Cell: 3.8567 4.6442 4.6545 Å, 88.04 90.00 90.00°
Fractional coordinates of all 4 atoms:
Se1 0.0000 0.4784 0.4783
Sc1 0.5000 0.7500 0.7500
Ir1 0.5000 0.2500 0.2500
Se2 0.0000 0.0216 0.0217

---

Record 19
Computed, not measured: a relaxed Nd2Th2Sb2C crystal at the PBE-GGA level of DFT.

Properties
**D(E_F)**: 8.0 states/eV/cell
**Energy relative to the elements, uncorrected**: -672.7 meV/atom

Cell: 4.9018 4.9018 9.1109 Å, 105.61 105.61 90.00°
Fractional coordinates of all 7 atoms:
Th1 0.5000 0.0000 0.0000
Nd1 0.8347 0.8347 0.6695
Nd2 0.1653 0.1653 0.3305
Sb1 0.3587 0.3587 0.7173
Sb2 0.6413 0.6413 0.2827
Th2 0.0000 0.5000 0.0000
C1 0.0000 0.0000 0.0000

---

Record 20
Computed, not measured: a relaxed AgHgTe2S crystal at the PBE-GGA level of DFT.

Properties
**D(E_F)**: 2.2 states/eV/cell
**Energy relative to the elements, uncorrected**: 332.9 meV/atom

Cell: 5.4397 4.8047 5.4397 Å, 90.00 90.00 90.00°
Fractional coordinates of all 5 atoms:
Te1 0.5000 0.0000 0.0000
Hg1 0.5000 0.5000 0.5000
S1 0.0000 0.0000 0.0000
Ag1 0.0000 0.5000 0.0000
Te2 0.0000 0.0000 0.5000

---

Record 21
Computed, not measured: a relaxed Pu2AsN crystal at the PBE-GGA level of DFT.

Properties
**D(E_F)**: 9.4 states/eV/cell
**Energy relative to the elements, uncorrected**: -647.3 meV/atom

Cell: 3.1642 3.1642 7.0172 Å, 90.00 90.00 90.00°
Each line ends with the local moment (μB).
Fractional coordinates of all 4 atoms:
Pu1 0.0000 0.0000 0.7945  5.36
Pu2 0.0000 0.0000 0.2055  5.36
N1 0.5000 0.5000 0.0000  -0.22
As1 0.5000 0.5000 0.5000  -0.10

---

Record 22
Computed, not measured: a relaxed LiErMgCu crystal at the PBE-GGA level of DFT.

Properties
**D(E_F)**: 5.7 states/eV/cell
**Energy of formation**: -0.09 eV/atom

Cell: 4.7703 4.7703 4.7703 Å, 60.00 60.00 60.00°
Each line ends with the local moment (μB).
Fractional coordinates of all 4 atoms:
Er1 0.0000 0.0000 0.0000  0.10
Li1 0.7500 0.7500 0.7500  0.02
Mg1 0.5000 0.5000 0.5000  0.01
Cu1 0.2500 0.2500 0.2500  0.01

---

Record 23
Computed, not measured: a relaxed LaPu2Zn2Ge2 crystal at the PBE-GGA level of DFT.

Properties
**D(E_F)**: 8.0 states/eV/cell
**Energy of formation**: -0.23 eV/atom

Cell: 4.1022 4.1022 9.7237 Å, 77.82 77.82 60.00°
Fractional coordinates of all 7 atoms:
Ge1 0.7409 0.7409 0.7774
Zn1 0.5815 0.5815 0.2554
Ge2 0.2591 0.2591 0.2226
Pu1 0.8470 0.8470 0.4589
La1 0.0000 0.0000 0.0000
Zn2 0.4185 0.4185 0.7446
Pu2 0.1530 0.1530 0.5411

---

Record 24
Computed, not measured: a relaxed HoPuCdPb crystal at the PBE-GGA level of DFT.

Properties
**D(E_F)**: 10.2 states/eV/cell
**Energy of formation**: -0.20 eV/atom

Cell: 5.3761 5.3761 5.3761 Å, 60.00 60.00 60.00°
Each line ends with the local moment (μB).
Fractional coordinates of all 4 atoms:
Cd1 0.7500 0.7500 0.7500  0.05
Ho1 0.5000 0.5000 0.5000  0.40
Pu1 0.0000 0.0000 0.0000  5.61
Pb1 0.2500 0.2500 0.2500  -0.03

---

Record 25
Computed, not measured: a relaxed Sm2Mg15Sc2 crystal at the PBE-GGA level of DFT.

Properties
**D(E_F)**: 14.5 states/eV/cell
**Energy of formation**: 0.00 eV/atom

Cell: 7.8358 7.8358 7.8358 Å, 82.58 82.58 82.58°
Each line ends with the local moment (μB).
Fractional coordinates of all 19 atoms:
Mg1 0.7050 0.2950 0.0000  0.00
Mg2 0.2950 0.7050 0.0000  0.00
Sm1 0.6729 0.6729 0.6729  0.01
Mg3 0.0000 0.7050 0.2950  0.00
Mg4 0.3556 0.3556 0.8479  0.00
Mg5 0.7050 0.0000 0.2950  0.00
Mg6 0.2950 0.0000 0.7050  0.00
Mg7 0.6444 0.6444 0.1521  0.00
Mg8 0.3556 0.8479 0.3556  0.00
Sm2 0.3271 0.3271 0.3271  0.01
Mg9 0.1521 0.6444 0.6444  0.00
Sc1 0.0988 0.0988 0.0988  0.23
Mg10 0.6444 0.1521 0.6444  0.00
Sc2 0.9012 0.9012 0.9012  0.23
Mg11 0.8479 0.3556 0.3556  0.00
Mg12 0.0000 0.0000 0.5000  0.00
Mg13 0.5000 0.0000 0.0000  0.00
Mg14 0.0000 0.2950 0.7050  0.00
Mg15 0.0000 0.5000 0.0000  0.00

---

Record 26
Computed, not measured: a relaxed CdIn2Cu crystal at the PBE-GGA level of DFT.

Properties
**D(E_F)**: 1.0 states/eV/cell
**Energy of formation**: 0.07 eV/atom

Cell: 5.1443 5.1443 6.3682 Å, 66.41 66.41 36.18°
Fractional coordinates of all 4 atoms:
Cd1 0.5655 0.5655 0.4954
In1 0.7582 0.7582 0.7451
In2 0.9438 0.9438 0.1492
Cu1 0.2325 0.2325 0.1102